[1]
# Sc2MnTc

Crystalline Sc2MnTc at its relaxed geometry (PBE, Alexandria).

- E_form (eV/atom) = -0.0800
- V (Å³ per cell) = 137.4
- energy (eV for the cell shown) = -65.04

Unit cell a=3.1838 b=4.5468 c=9.4908 alpha=90.00 beta=90.00 gamma=90.00
Closest atoms and distances in Å follow each position.
Space group Imm2 (No. 44)
One atom of each set of equivalent atoms:
Sc1 0.0000 0.0000 0.0000 x2  4 Mn 2.81, 2 Tc 2.89, 4 Sc 3.08-3.10
Sc2 0.0000 0.5000 0.2219 x2  4 Tc 2.79, 2 Mn 3.01, 4 Sc 3.08-3.10
Mn1 0.0000 0.0000 0.4525 x2  2 Tc 2.46
Tc1 0.0000 0.5000 0.7548 x2  2 Mn 2.46

[2]
# KCa2

Crystalline KCa2 at its relaxed geometry (PBE, Alexandria).

- E_form (eV/atom) = 0.1042
- V (Å³ per cell) = 146.4
- energy (eV for the cell shown) = -4.79

Unit cell a=4.0243 b=4.0243 c=10.4353 alpha=90.00 beta=90.00 gamma=120.00
Closest atoms and distances in Å follow each position.
Space group P-3m1 (No. 164)
One atom of each set of equivalent atoms:
K1 0.0000 0.0000 0.0000 x1  6 K 4.02, 6 Ca 4.34
Ca1 0.3333 0.6667 0.3516 x2  9 Ca 3.87-4.02

[3]
# YFeOs2

Crystalline YFeOs2 at its relaxed geometry (PBE, Alexandria).

- E_form (eV/atom) = 0.3448
- energy above the lowest structure with this stoichiometry (eV per atom) = 0.112
- V (Å³ per cell) = 133.9
- energy (eV for the cell shown) = -72.01

Unit cell a=3.0858 b=4.6326 c=9.3677 alpha=90.00 beta=90.00 gamma=90.00
Closest atoms and distances in Å follow each position.
Space group Imm2 (No. 44)
One atom of each set of equivalent atoms:
Y1 0.0000 0.0000 0.0000 x2  6 Os 2.78-2.97, 2 Fe 2.98, 2 Y 3.09
Fe1 0.0000 0.5000 0.7725 x2  6 Os 2.62-2.81
Os1 0.0000 0.0000 0.4990 x2  2 Fe 2.62, 2 Os 2.65, 4 Y 2.78
Os2 0.0000 0.5000 0.2292 x2  2 Os 2.65, 4 Fe 2.81

[4]
# ZnCu2SiSe4

Crystalline ZnCu2SiSe4 at its relaxed geometry (PBE, Alexandria).

- V (Å³ per cell) = 349.2
- energy (eV for the cell shown) = -64.05
- formation energy without anion corrections (eV per atom) = -0.400

Unit cell a=5.5890 b=5.5890 c=11.1804 alpha=90.00 beta=90.00 gamma=90.00
Closest atoms and distances in Å follow each position.
Space group I-42m (No. 121)
One atom of each set of equivalent atoms:
Zn1 0.0000 0.0000 0.0000 x2  4 Se 2.51
Cu1 0.0000 0.5000 0.2500 x4  4 Se 2.42
Si1 0.0000 0.0000 0.5000 x2  4 Se 2.34
Se1 0.2363 0.2363 0.6258 x8  1 Si 2.34, 2 Cu 2.42, 1 Zn 2.51

[5]
# AlCdCl2

Crystalline AlCdCl2 at its relaxed geometry (PBE, Alexandria).

- energy above the lowest structure with this stoichiometry (eV per atom) = 0.251
- V (Å³ per cell) = 213.2
- energy (eV for the cell shown) = -20.17
- formation energy without anion corrections (eV per atom) = -0.433

Unit cell a=3.2531 b=6.3495 c=10.3216 alpha=90.00 beta=90.00 gamma=90.00
Closest atoms and distances in Å follow each position.
Space group Cmmm (No. 65)
One atom of each set of equivalent atoms:
Al1 0.0000 0.0000 0.0000 x2  4 Cl 2.40
Cd1 0.0000 0.0000 0.5000 x2  6 Cd 3.25-3.57
Cl1 0.0000 0.5000 0.1703 x4  2 Al 2.40

[6]
# Pr4Dy2ErTh

Crystalline Pr4Dy2ErTh at its relaxed geometry (PBE, Alexandria).

- E_form (eV/atom) = 0.2439
- V (Å³ per cell) = 1122.3
- energy (eV for the cell shown) = -153.41

Unit cell a=5.6500 b=11.8006 c=16.8335 alpha=90.00 beta=90.00 gamma=90.00
Closest atoms and distances in Å follow each position.
Space group Cmcm (No. 63)
One atom of each set of equivalent atoms:
Pr1 0.0000 0.0000 0.0000 x4  4 Dy 3.58, 6 Pr 3.68-3.94
Pr2 0.0000 0.2933 0.0750 x8  1 Pr 3.27, 3 Dy 3.31-3.64, 1 Th 3.64
Pr3 0.0000 0.4135 0.2500 x4  2 Er 3.10, 2 Pr 3.27, 2 Dy 3.29
Dy1 0.0000 0.3949 0.6084 x8  6 Pr 3.29-3.64, 1 Er 3.35
Er1 0.0000 0.1952 0.7500 x4  2 Pr 3.10, 2 Dy 3.35
Th1 0.0000 0.1113 0.2500 x4  5 Pr 3.57-3.67, 3 Er 3.62-3.63, 4 Dy 3.70

[7]
# LiCrTc2

Crystalline LiCrTc2 at its relaxed geometry (PBE, Alexandria).

- E_form (eV/atom) = 0.3036
- energy above the lowest structure with this stoichiometry (eV per atom) = 0.119
- V (Å³ per cell) = 51.3
- energy (eV for the cell shown) = -31.05

Unit cell a=3.0763 b=3.0763 c=5.4173 alpha=90.00 beta=90.00 gamma=90.00
Closest atoms and distances in Å follow each position.
Space group P4/mmm (No. 123)
One atom of each set of equivalent atoms:
Li1 0.0000 0.0000 0.0000 x1  8 Tc 2.54, 2 Cr 2.71
Cr1 0.0000 0.0000 0.5000 x1  8 Tc 2.58, 2 Li 2.71
Tc1 0.5000 0.5000 0.2439 x2  4 Li 2.54, 4 Cr 2.58, 2 Tc 2.64-2.78

[8]
# La2SiPt

Crystalline La2SiPt at its relaxed geometry (PBE, Alexandria).

- V (Å³ per cell) = 206.3
- energy (eV for the cell shown) = -50.23
- formation energy without anion corrections (eV per atom) = -0.949

Unit cell a=4.3154 b=4.2984 c=11.1210 alpha=90.00 beta=90.00 gamma=90.00
Closest atoms and distances in Å follow each position.
Space group Amm2 (No. 38)
One atom of each set of equivalent atoms:
La1 0.0000 0.0000 0.0000 x2  4 Pt 3.14, 3 Si 3.15-3.26
La2 0.5000 0.0000 0.2802 x2  4 Si 3.15, 3 Pt 3.19-3.20
Si1 0.0000 0.0000 0.7072 x2  2 Pt 2.66
Pt1 0.5000 0.0000 0.5670 x2  2 Si 2.66